First-principles (GGA-PBE) data for HgAu3I after structural relaxation, as listed in the Alexandria database.

Lattice parameters (Å, degrees): 5.4507 5.4507 5.4507 90.00 90.00 90.00
Space group Pm-3m (No. 221)
Asymmetric unit:
Hg1 0.0000 0.0000 0.0000 (multiplicity 1)
Au1 0.0000 0.5000 0.5000 (multiplicity 3)
I1 0.5000 0.5000 0.5000 (multiplicity 1)

* V: 32.388 A^3/atom
* energy above the most stable polymorph in this dataset: 0 meV/atom
* E_form (uncorrected): 0.662 eV/atom
* total moment: 0.00 μB/atom
* crystal system: cubic

***

First-principles (GGA-PBE) data for NdErAl2Zn2 after structural relaxation, as listed in the Alexandria database.

Lattice parameters (Å, degrees): 4.5044 4.5044 7.3350 90.00 90.00 120.00
Space group P-3m1 (No. 164)
Asymmetric unit:
Nd1 0.0000 0.0000 0.0000 (multiplicity 1)
Er1 0.0000 0.0000 0.5000 (multiplicity 1)
Al1 0.3333 0.6667 0.7291 (multiplicity 2)
Zn1 0.3333 0.6667 0.2791 (multiplicity 2)

* V: 21.481 A^3/atom
* DFT formation energy: -10.37 kcal/mol of atoms
* total moment: 0.00 μB/atom
* crystal system: trigonal

***

First-principles (GGA-PBE) data for Sr2TlHg2 after structural relaxation, as listed in the Alexandria database.

Lattice parameters (Å, degrees): 12.5018 4.9142 11.9054 90.00 116.54 90.00
Space group C2/m (No. 12)
Asymmetric unit:
Sr1 0.0093 0.0000 0.3360 (multiplicity 4)
Sr2 0.1871 0.0000 0.1081 (multiplicity 4)
Tl1 0.2169 0.5000 0.3471 (multiplicity 4)
Hg1 0.0377 0.5000 0.8912 (multiplicity 4)
Hg2 0.1335 0.5000 0.5693 (multiplicity 4)

* V: 32.716 A^3/atom
* energy above the most stable polymorph in this dataset: 6 meV/atom
* DFT formation energy: -10.08 kcal/mol of atoms
* total moment: 0.00 μB/atom
* crystal system: monoclinic